Entry from the Alexandria database: a geometry-optimized Dy3Y4Al structure (PBE-GGA).

The space group is P4/mmm (No. 123) and the conventional cell measures 3.5432, 3.5432 and 19.0902 Å, with angles of 90.00, 90.00 and 90.00 degrees. The inequivalent atoms are Dy at (0.0000, 0.0000, 0.0000), Dy at (0.0000, 0.0000, 0.2647), Y at (0.5000, 0.5000, 0.1331), Y at (0.5000, 0.5000, 0.4001) and Al at (0.0000, 0.0000, 0.5000).

The calculated density is 6.03 g cm⁻³. For the uncorrected energy, the calculation gives -5.51 eV/atom. The calculation puts the total magnetic moment at 0.00 μB per atom. Its crystal system is tetragonal. The energy of formation comes out at -0.087 eV/atom.



Entry from the Alexandria database: a geometry-optimized La2Ga5Ni structure (PBE-GGA).

The space group is I4mm (No. 107) and the conventional cell measures 6.1303, 6.1303 and 9.4400 Å, with angles of 90.00, 90.00 and 90.00 degrees. The inequivalent atoms are La at (0.0000, 0.5000, 0.0000), Ga at (0.0000, 0.0000, 0.4606), Ga at (0.2215, 0.2215, 0.2496) and Ni at (0.0000, 0.0000, 0.7150).

The calculated density is 6.41 g cm⁻³. For the uncorrected energy, the calculation gives -4.33 eV/atom. The calculation puts the total magnetic moment at 0.00 μB per atom. Its crystal system is tetragonal. The energy of formation comes out at -0.488 eV/atom.



Entry from the Alexandria database: a geometry-optimized TlCd2Cl structure (PBE-GGA).

The space group is Cm (No. 8) and the conventional cell measures 11.3772, 3.4513 and 6.4016 Å, with angles of 90.00, 117.72 and 90.00 degrees. The inequivalent atoms are Tl at (0.0000, 0.0000, 0.0000), Cd at (0.1132, 0.5000, 0.4936), Cd at (0.3578, 0.5000, 0.4165) and Cl at (0.2423, 0.0000, 0.9121).

The calculated density is 6.94 g cm⁻³. The value obtained for the energy above the most stable polymorph in this dataset is 26.9 meV per atom. For the uncorrected energy, the calculation gives -1.81 eV/atom. For the uncorrected formation energy, the calculation gives -297 meV per atom. The calculation puts the total magnetic moment at 0.00 μB per atom. Its crystal system is monoclinic.



Entry from the Alexandria database: a geometry-optimized Pr3Cu4Pt4 structure (PBE-GGA).

The space group is I-43m (No. 217) and the conventional cell measures 7.6271, 7.6271 and 7.6271 Å, with angles of 90.00, 90.00 and 90.00 degrees. The inequivalent atoms are Pr at (0.0000, 0.0000, 0.5000), Cu at (0.1145, 0.1145, 0.8855) and Pt at (0.2034, 0.2034, 0.2034).

The calculated density is 10.91 g cm⁻³. For the uncorrected energy, the calculation gives -5.52 eV/atom. The calculation puts the total magnetic moment at 0.00 μB per atom. Its crystal system is cubic. The energy of formation comes out at -0.528 eV/atom.



Entry from the Alexandria database: a geometry-optimized TbAs2RuRh5 structure (PBE-GGA).

The space group is P4/mmm (No. 123) and the conventional cell measures 3.9938, 3.9938 and 11.7293 Å, with angles of 90.00, 90.00 and 90.00 degrees. The inequivalent atoms are Tb at (0.0000, 0.0000, 0.0000), As at (0.5000, 0.5000, 0.2978), Ru at (0.5000, 0.5000, 0.5000), Rh at (0.0000, 0.5000, 0.1798) and Rh at (0.5000, 0.5000, 0.0000).

The calculated density is 8.20 g cm⁻³. For the uncorrected energy, the calculation gives -6.62 eV/atom. The calculation puts the total magnetic moment at 0.23 μB per atom. Its crystal system is tetragonal. The energy of formation comes out at 0.039 eV/atom.



Entry from the Alexandria database: a geometry-optimized PuMg3O6 structure (PBE-GGA).

The space group is R-3 (No. 148, hexagonal axes) and the conventional cell measures 8.9064, 8.9064 and 10.6420 Å, with angles of 90.00, 90.00 and 120.00 degrees. The inequivalent atoms are Pu at (0.0000, 0.0000, 0.0000), Pu at (0.0000, 0.0000, 0.5000), Mg at (0.0400, 0.2658, 0.2108), O at (0.0224, 0.1894, 0.8763) and O at (0.0264, 0.2094, 0.3986).

The calculated density is 5.63 g cm⁻³. For the uncorrected energy, the calculation gives -7.48 eV/atom. For the uncorrected formation energy, the calculation gives -2592 meV per atom. The calculation puts the total magnetic moment at 0.20 μB per atom. Its crystal system is trigonal.